VASP calculation (PBE-GGA) on HgOs2RhPb after structural relaxation.

Output
ΔE_f: 1.59 eV/atom

Cell: 4.755 4.755 5.117 Å, 90.00 90.00 90.00°
Fractional coordinates of all 5 atoms:
Hg 0.000 0.000 0.000
Os 0.000 0.500 0.500
Os 0.500 0.000 0.500
Rh 0.000 0.000 0.500
Pb 0.500 0.500 0.000

***

VASP calculation (PBE-GGA) on V2FeNi7 after structural relaxation.

Output
ΔE_f: 0.36 eV/atom

Cell: 7.939 7.939 2.447 Å, 90.00 90.00 123.34°
Fractional coordinates of all 10 atoms:
V 0.176 0.824 0.000
V 0.824 0.176 0.000
Fe 0.500 0.500 0.500
Ni 0.000 0.000 0.000
Ni 0.174 0.360 0.000
Ni 0.323 0.677 0.500
Ni 0.360 0.174 0.000
Ni 0.640 0.826 0.000
Ni 0.677 0.323 0.500
Ni 0.826 0.640 0.000

***

VASP calculation (PBE-GGA) on Dy3AgPd after structural relaxation.

Output
ΔE_f: -0.30 eV/atom
ΔE to the lowest computed polymorph: 113 meV/atom

Cell: 3.847 8.863 8.863 Å, 113.19 90.00 90.00°
Fractional coordinates of all 10 atoms:
Dy 0.000 0.118 0.882
Dy 0.000 0.259 0.494
Dy 0.000 0.494 0.259
Dy 0.000 0.882 0.118
Dy 0.500 0.528 0.849
Dy 0.500 0.849 0.528
Ag 0.000 0.687 0.687
Ag 0.500 0.188 0.188
Pd 0.500 0.188 0.688
Pd 0.500 0.688 0.188

***

VASP calculation (PBE-GGA) on Nd6In3Hg after structural relaxation.

Output
ΔE_f: -0.38 eV/atom
ΔE to the lowest computed polymorph: 0 meV/atom

Cell: 9.605 5.452 12.007 Å, 90.00 107.70 90.00°
Fractional coordinates of all 20 atoms:
Nd 0.040 0.250 0.413
Nd 0.163 0.750 0.176
Nd 0.250 0.250 0.999
Nd 0.344 0.750 0.804
Nd 0.369 0.250 0.346
Nd 0.410 0.250 0.622
Nd 0.590 0.750 0.378
Nd 0.631 0.750 0.654
Nd 0.656 0.250 0.196
Nd 0.750 0.750 0.001
Nd 0.837 0.250 0.824
Nd 0.960 0.750 0.587
In 0.033 0.750 0.879
In 0.122 0.250 0.715
In 0.271 0.750 0.474
In 0.729 0.250 0.526
In 0.878 0.750 0.285
In 0.967 0.250 0.121
Hg 0.459 0.750 0.097
Hg 0.541 0.250 0.903

***

VASP calculation (PBE-GGA) on Al2InBiC after structural relaxation.

Output
ΔE_f: 0.58 eV/atom

Cell: 4.278 4.278 5.344 Å, 90.00 90.00 90.00°
Fractional coordinates of all 5 atoms:
Al 0.000 0.500 0.000
Al 0.500 0.000 0.000
In 0.000 0.000 0.500
Bi 0.500 0.500 0.500
C 0.500 0.500 0.000

***

VASP calculation (PBE-GGA) on Rb3SnHg after structural relaxation.

Output
ΔE_f: -0.09 eV/atom
ΔE to the lowest computed polymorph: 0 meV/atom

Cell: 7.907 7.907 9.783 Å, 111.65 111.65 91.25°
Fractional coordinates of all 10 atoms:
Rb 0.032 0.447 0.740
Rb 0.072 0.072 0.251
Rb 0.447 0.032 0.740
Rb 0.553 0.968 0.260
Rb 0.928 0.928 0.749
Rb 0.968 0.553 0.260
Sn 0.439 0.439 0.599
Sn 0.561 0.561 0.401
Hg 0.313 0.313 0.079
Hg 0.687 0.687 0.921

***

VASP calculation (PBE-GGA) on KTiF3 after structural relaxation.

Output
energy relative to the elements, uncorrected: -2529 meV per atom

Cell: 7.224 7.224 7.224 Å, 135.40 100.33 96.23°
Fractional coordinates of all 10 atoms:
K 0.188 0.000 0.188
K 0.812 0.000 0.812
Ti 0.325 0.325 0.000
Ti 0.675 0.675 0.000
F 0.183 0.421 0.238
F 0.183 0.945 0.762
F 0.369 0.500 0.869
F 0.631 0.500 0.131
F 0.817 0.055 0.238
F 0.817 0.579 0.762

***

VASP calculation (PBE-GGA) on InHgSb2 after structural relaxation.

Output
energy relative to the elements, uncorrected: 120 meV per atom
ΔE to the lowest computed polymorph: 77 meV/atom

Cell: 4.421 4.421 11.515 Å, 90.00 90.00 90.00°
Fractional coordinates of all 8 atoms:
In 0.000 0.000 0.000
In 0.500 0.500 0.500
Hg 0.000 0.000 0.500
Hg 0.500 0.500 0.000
Sb 0.000 0.500 0.250
Sb 0.000 0.500 0.750
Sb 0.500 0.000 0.250
Sb 0.500 0.000 0.750

***

VASP calculation (PBE-GGA) on In3Ga12S5 after structural relaxation.

Output
energy relative to the elements, uncorrected: -36 meV per atom

Cell: 13.767 13.767 13.767 Å, 109.47 109.47 109.47°
Fractional coordinates of all 80 atoms:
In 0.125 0.250 0.375
In 0.125 0.375 0.750
In 0.250 0.375 0.125
In 0.250 0.875 0.625
In 0.375 0.125 0.250
In 0.375 0.750 0.125
In 0.625 0.250 0.875
In 0.625 0.875 0.750
In 0.750 0.125 0.375
In 0.750 0.625 0.875
In 0.875 0.625 0.250
In 0.875 0.750 0.625
Ga 0.051 0.223 0.142
Ga 0.051 0.328 0.909
Ga 0.081 0.723 0.672
Ga 0.081 0.858 0.409
Ga 0.091 0.642 0.419
Ga 0.091 0.949 0.672
Ga 0.142 0.051 0.223
Ga 0.142 0.591 0.919
Ga 0.172 0.223 0.581
Ga 0.172 0.449 0.591
Ga 0.223 0.142 0.051
Ga 0.223 0.581 0.172
Ga 0.277 0.328 0.919
Ga 0.277 0.449 0.358
Ga 0.328 0.909 0.051
Ga 0.328 0.919 0.277
Ga 0.358 0.277 0.449
Ga 0.358 0.581 0.909
Ga 0.409 0.081 0.858
Ga 0.409 0.828 0.551
Ga 0.419 0.091 0.642
Ga 0.419 0.828 0.777
Ga 0.449 0.358 0.277
Ga 0.449 0.591 0.172
Ga 0.551 0.409 0.828
Ga 0.551 0.642 0.723
Ga 0.581 0.172 0.223
Ga 0.581 0.909 0.358
Ga 0.591 0.172 0.449
Ga 0.591 0.919 0.142
Ga 0.642 0.419 0.091
Ga 0.642 0.723 0.551
Ga 0.672 0.081 0.723
Ga 0.672 0.091 0.949
Ga 0.723 0.551 0.642
Ga 0.723 0.672 0.081
Ga 0.777 0.419 0.828
Ga 0.777 0.858 0.949
Ga 0.828 0.551 0.409
Ga 0.828 0.777 0.419
Ga 0.858 0.409 0.081
Ga 0.858 0.949 0.777
Ga 0.909 0.051 0.328
Ga 0.909 0.358 0.581
Ga 0.919 0.142 0.591
Ga 0.919 0.277 0.328
Ga 0.949 0.672 0.091
Ga 0.949 0.777 0.858
S 0.000 0.000 0.000
S 0.000 0.000 0.500
S 0.000 0.500 0.000
S 0.000 0.500 0.500
S 0.125 0.750 0.875
S 0.125 0.875 0.250
S 0.250 0.125 0.875
S 0.250 0.625 0.375
S 0.375 0.250 0.625
S 0.375 0.625 0.750
S 0.500 0.000 0.000
S 0.500 0.000 0.500
S 0.500 0.500 0.000
S 0.500 0.500 0.500
S 0.625 0.375 0.250
S 0.625 0.750 0.375
S 0.750 0.375 0.625
S 0.750 0.875 0.125
S 0.875 0.125 0.750
S 0.875 0.250 0.125

***

VASP calculation (PBE-GGA) on LiSnSN2 after structural relaxation.

Output
energy relative to the elements, uncorrected: 1318 meV per atom
ΔE to the lowest computed polymorph: 448 meV/atom

Cell: 4.088 4.088 4.674 Å, 90.00 90.00 90.00°
Fractional coordinates of all 5 atoms:
Li 0.000 0.000 0.000
Sn 0.500 0.500 0.500
S 0.000 0.000 0.500
N 0.000 0.500 0.000
N 0.500 0.000 0.000

***

VASP calculation (PBE-GGA) on La7Nd4Y after structural relaxation.

Output
ΔE_f: 0.02 eV/atom
ΔE to the lowest computed polymorph: 0 meV/atom

Cell: 6.417 7.394 9.801 Å, 78.95 71.21 89.90°
Fractional coordinates of all 12 atoms:
La 0.000 0.000 0.000
La 0.167 0.417 0.333
La 0.333 0.833 0.667
La 0.499 0.252 0.000
La 0.501 0.748 0.000
La 0.667 0.167 0.333
La 0.833 0.583 0.667
Nd 0.167 0.916 0.333
Nd 0.334 0.334 0.667
Nd 0.666 0.666 0.333
Nd 0.833 0.084 0.667
Y 0.000 0.500 0.000

***

VASP calculation (PBE-GGA) on Mg2Tl2In7 after structural relaxation.

Output
ΔE_f: 0.01 eV/atom

Cell: 8.482 8.482 8.482 Å, 147.82 80.68 108.40°
Fractional coordinates of all 11 atoms:
Mg 0.000 0.000 0.000
Mg 0.769 0.269 0.500
Tl 0.365 0.002 0.363
Tl 0.639 0.002 0.637
In 0.078 0.243 0.835
In 0.169 0.494 0.676
In 0.227 0.727 0.500
In 0.408 0.243 0.165
In 0.595 0.754 0.841
In 0.818 0.494 0.324
In 0.912 0.754 0.159

***

Number 1: calculated total energy -5.172 eV/atom. Number 2: calculated total energy -6.356 eV/atom. Number 3: calculated total energy -4.670 eV/atom. Number 4: calculated total energy -4.088 eV/atom. Number 5: calculated total energy -4.087 eV/atom. Number 6: calculated total energy -1.535 eV/atom. Number 7: calculated total energy -5.450 eV/atom. Number 8: calculated total energy -2.701 eV/atom. Number 9: calculated total energy -3.294 eV/atom. Number 10: calculated total energy -4.021 eV/atom. Number 11: calculated total energy -4.987 eV/atom. Number 12: calculated total energy -2.452 eV/atom.